No. 1
Tb2Er2Tm7 | PBE | optimized geometry

Lattice parameters (Å, degrees): 6.3962 6.3962 8.5199 97.75 97.75 92.88
Last column: nearest neighbours and their distance in Å.
Atoms (fractional coordinates):
Tb 0.1780 0.8220 0.0000  1 Tb 3.30, 8 Tm 3.31-3.55, 2 Er 3.42
Tb 0.8220 0.1780 0.0000  1 Tb 3.30, 8 Tm 3.31-3.55, 2 Er 3.42
Er 0.1031 0.1031 0.3560  1 Er 3.33, 8 Tm 3.36-3.47, 2 Tb 3.42
Er 0.8969 0.8969 0.6440  1 Er 3.33, 8 Tm 3.36-3.47, 2 Tb 3.42
Tm 0.0554 0.4197 0.7086  2 Tb 3.31-3.55, 3 Er 3.36-3.45, 4 Tm 3.38-3.65
Tm 0.3484 0.3484 0.0934  6 Tm 3.37-3.65, 1 Er 3.40, 4 Tb 3.43-3.44
Tm 0.4197 0.0554 0.7086  2 Tb 3.31-3.55, 3 Er 3.36-3.45, 4 Tm 3.38-3.65
Tm 0.5000 0.5000 0.5000  10 Tm 3.46-3.84, 2 Er 3.47
Tm 0.5803 0.9446 0.2914  2 Tb 3.31-3.55, 3 Er 3.36-3.45, 4 Tm 3.38-3.65
Tm 0.6516 0.6516 0.9066  6 Tm 3.37-3.65, 1 Er 3.40, 4 Tb 3.43-3.44
Tm 0.9446 0.5803 0.2914  2 Tb 3.31-3.55, 3 Er 3.36-3.45, 4 Tm 3.38-3.65

Summary:
As for the total energy: -4.40 eV per atom. Its space group is No. 12.

No. 2
TbEr3Tm5 | PBE | optimized geometry

Lattice parameters (Å, degrees): 9.0097 9.0097 11.5922 123.43 123.43 57.43
Last column: nearest neighbours and their distance in Å.
Atoms (fractional coordinates):
Tb 0.1372 0.1372 0.3531  4 Er 3.21-3.50, 2 Tm 3.48
Tb 0.8628 0.8628 0.6469  4 Er 3.21-3.50, 2 Tm 3.48
Er 0.0000 0.0000 0.0000  2 Tm 2.78
Er 0.0000 0.0000 0.5000  2 Er 3.39, 4 Tm 3.40, 2 Tb 3.50
Er 0.2561 0.2561 0.1972  1 Tm 3.05, 1 Er 3.16, 1 Tb 3.33
Er 0.2745 0.2745 0.7087  3 Tm 3.13-3.38, 1 Tb 3.23, 1 Er 3.39
Er 0.7255 0.7255 0.2913  3 Tm 3.13-3.38, 1 Tb 3.23, 1 Er 3.39
Er 0.7439 0.7439 0.8028  1 Tm 3.05, 1 Er 3.16, 1 Tb 3.33
Tm 0.0667 0.7062 0.1718  3 Tm 3.08-3.25, 1 Er 3.40
Tm 0.2938 0.9333 0.8282  3 Tm 3.08-3.25, 1 Er 3.40
Tm 0.3206 0.6794 0.0000  1 Er 2.78, 3 Tm 3.08-3.11
Tm 0.3456 0.3456 0.0287  2 Er 3.05-3.13, 7 Tm 3.08-3.39
Tm 0.4450 0.4450 0.6024  4 Tm 3.39-3.72, 3 Er 3.60-3.73, 1 Tb 3.79
Tm 0.5550 0.5550 0.3976  4 Tm 3.39-3.72, 3 Er 3.60-3.73, 1 Tb 3.79
Tm 0.6544 0.6544 0.9713  2 Er 3.05-3.13, 7 Tm 3.08-3.39
Tm 0.6794 0.3206 0.0000  1 Er 2.78, 3 Tm 3.08-3.11
Tm 0.7062 0.0667 0.1718  3 Tm 3.08-3.25, 1 Er 3.40
Tm 0.9333 0.2938 0.8282  3 Tm 3.08-3.25, 1 Er 3.40

Summary:
As for the total energy: -4.02 eV per atom. The value obtained for the energy above the most stable polymorph in this dataset is 364 meV per atom. Its space group is No. 12.

No. 3
Tb7Er4Tm | PBE | optimized geometry

Lattice parameters (Å, degrees): 8.4599 8.4599 9.2039 114.54 114.54 40.42
Last column: nearest neighbours and their distance in Å.
Atoms (fractional coordinates):
Tb 0.0000 0.0000 0.0000  2 Tm 2.92
Tb 0.2875 0.2875 0.1208  6 Tb 3.27-3.63, 3 Er 3.60-3.64
Tb 0.2909 0.2909 0.7679  1 Tm 3.05, 4 Er 3.16-3.41, 2 Tb 3.27-3.35
Tb 0.4185 0.4185 0.5590  2 Tb 3.22-3.35, 3 Er 3.40-3.50
Tb 0.5815 0.5815 0.4410  2 Tb 3.22-3.35, 3 Er 3.40-3.50
Tb 0.7091 0.7091 0.2321  1 Tm 3.05, 4 Er 3.16-3.41, 2 Tb 3.27-3.35
Tb 0.7125 0.7125 0.8792  6 Tb 3.27-3.63, 3 Er 3.60-3.64
Er 0.0728 0.0728 0.6993  4 Tb 3.23-3.60, 2 Er 3.36-3.62
Er 0.1728 0.1728 0.3870  7 Tb 3.16-3.50
Er 0.8272 0.8272 0.6130  7 Tb 3.16-3.50
Er 0.9272 0.9272 0.3007  4 Tb 3.23-3.60, 2 Er 3.36-3.62
Tm 0.5000 0.5000 0.0000  4 Tb 2.92-3.05

Summary:
As for the total energy: -4.35 eV per atom. The value obtained for the energy above the most stable polymorph in this dataset is 153 meV per atom. Its space group is No. 12.

No. 4
Tb2Er7Tm | PBE | optimized geometry

Lattice parameters (Å, degrees): 9.6639 9.6639 5.0193 90.00 90.00 127.36
Last column: nearest neighbours and their distance in Å.
Atoms (fractional coordinates):
Tb 0.2011 0.7989 0.0000  5 Er 3.11-3.48
Tb 0.7989 0.2011 0.0000  5 Er 3.11-3.48
Er 0.0000 0.0000 0.0000  4 Er 3.30, 2 Tb 3.48
Er 0.2146 0.4255 0.0000  4 Er 3.08-3.31, 1 Tb 3.20
Er 0.3073 0.6927 0.5000  2 Tb 3.11, 4 Er 3.31, 1 Tm 3.34
Er 0.4255 0.2146 0.0000  4 Er 3.08-3.31, 1 Tb 3.20
Er 0.5745 0.7854 0.0000  4 Er 3.08-3.31, 1 Tb 3.20
Er 0.6927 0.3073 0.5000  2 Tb 3.11, 4 Er 3.31, 1 Tm 3.34
Er 0.7854 0.5745 0.0000  4 Er 3.08-3.31, 1 Tb 3.20
Tm 0.5000 0.5000 0.5000  10 Er 3.34-3.47

Summary:
As for the total energy: -3.86 eV per atom. The value obtained for the energy above the most stable polymorph in this dataset is 680 meV per atom. Its space group is No. 65.

No. 5
Tb16Er6Tm7 | PBE | optimized geometry

Lattice parameters (Å, degrees): 11.0273 11.0273 11.0273 60.00 60.00 60.00
Last column: nearest neighbours and their distance in Å.
Atoms (fractional coordinates):
Tb 0.0473 0.6509 0.6509  3 Tm 3.21, 3 Er 3.53, 3 Tb 3.58
Tb 0.1228 0.1228 0.1228  4 Tm 3.32-3.40, 3 Tb 3.58, 3 Er 3.59
Tb 0.1228 0.1228 0.6315  4 Tm 3.32-3.40, 3 Tb 3.58, 3 Er 3.59
Tb 0.1228 0.6315 0.1228  4 Tm 3.32-3.40, 3 Tb 3.58, 3 Er 3.59
Tb 0.3491 0.3491 0.3491  3 Tm 3.21, 3 Er 3.53, 3 Tb 3.58
Tb 0.3491 0.3491 0.9527  3 Tm 3.21, 3 Er 3.53, 3 Tb 3.58
Tb 0.3491 0.9527 0.3491  3 Tm 3.21, 3 Er 3.53, 3 Tb 3.58
Tb 0.3685 0.8772 0.8772  4 Tm 3.32-3.40, 3 Tb 3.58, 3 Er 3.59
Tb 0.6315 0.1228 0.1228  4 Tm 3.32-3.40, 3 Tb 3.58, 3 Er 3.59
Tb 0.6509 0.0473 0.6509  3 Tm 3.21, 3 Er 3.53, 3 Tb 3.58
Tb 0.6509 0.6509 0.0473  3 Tm 3.21, 3 Er 3.53, 3 Tb 3.58
Tb 0.6509 0.6509 0.6509  3 Tm 3.21, 3 Er 3.53, 3 Tb 3.58
Tb 0.8772 0.3685 0.8772  4 Tm 3.32-3.40, 3 Tb 3.58, 3 Er 3.59
Tb 0.8772 0.8772 0.3685  4 Tm 3.32-3.40, 3 Tb 3.58, 3 Er 3.59
Tb 0.8772 0.8772 0.8772  4 Tm 3.32-3.40, 3 Tb 3.58, 3 Er 3.59
Tb 0.9527 0.3491 0.3491  3 Tm 3.21, 3 Er 3.53, 3 Tb 3.58
Er 0.2744 0.2744 0.7256  8 Tb 3.53-3.59, 4 Tm 3.92
Er 0.2744 0.7256 0.2744  8 Tb 3.53-3.59, 4 Tm 3.92
Er 0.2744 0.7256 0.7256  8 Tb 3.53-3.59, 4 Tm 3.92
Er 0.7256 0.2744 0.2744  8 Tb 3.53-3.59, 4 Tm 3.92
Er 0.7256 0.2744 0.7256  8 Tb 3.53-3.59, 4 Tm 3.92
Er 0.7256 0.7256 0.2744  8 Tb 3.53-3.59, 4 Tm 3.92
Tm 0.0000 0.0000 0.0000  8 Tb 3.32
Tm 0.0000 0.0000 0.5000  8 Tb 3.21-3.40
Tm 0.0000 0.5000 0.0000  8 Tb 3.21-3.40
Tm 0.0000 0.5000 0.5000  8 Tb 3.21-3.40
Tm 0.5000 0.0000 0.0000  8 Tb 3.21-3.40
Tm 0.5000 0.0000 0.5000  8 Tb 3.21-3.40
Tm 0.5000 0.5000 0.0000  8 Tb 3.21-3.40

Summary:
As for the total energy: -4.35 eV per atom. Its space group is No. 225.

No. 6
TbErTm5 | PBE | optimized geometry

Lattice parameters (Å, degrees): 6.6360 6.6360 12.0053 107.23 107.23 60.23
Last column: nearest neighbours and their distance in Å.
Atoms (fractional coordinates):
Tb 0.0272 0.9728 0.7500  3 Tm 2.94-3.26
Tb 0.9728 0.0272 0.2500  3 Tm 2.94-3.26
Er 0.0000 0.5000 0.0000  4 Tm 3.19-3.54
Er 0.5000 0.0000 0.5000  4 Tm 3.19-3.54
Tm 0.1401 0.4197 0.7527  2 Tm 2.95-3.24, 1 Er 3.19
Tm 0.1930 0.6506 0.4996  4 Tm 3.24-3.54, 1 Tb 3.26
Tm 0.3494 0.8070 0.0004  4 Tm 3.24-3.54, 1 Tb 3.26
Tm 0.4146 0.5854 0.2500  1 Tb 2.94, 2 Tm 2.95
Tm 0.4197 0.1401 0.2527  2 Tm 2.95-3.24, 1 Er 3.19
Tm 0.5803 0.8599 0.7473  2 Tm 2.95-3.24, 1 Er 3.19
Tm 0.5854 0.4146 0.7500  1 Tb 2.94, 2 Tm 2.95
Tm 0.6506 0.1930 0.9996  4 Tm 3.24-3.54, 1 Tb 3.26
Tm 0.8070 0.3494 0.5004  4 Tm 3.24-3.54, 1 Tb 3.26
Tm 0.8599 0.5803 0.2473  2 Tm 2.95-3.24, 1 Er 3.19

Summary:
As for the total energy: -4.30 eV per atom. The value obtained for the energy above the most stable polymorph in this dataset is 0 meV per atom. Its space group is No. 15.

Number 1: total moment 0.0 μB per formula unit, formation energy from the elements 0.12 eV per atom. Number 2: total moment 0.0 μB per formula unit, formation energy from the elements 0.50 eV per atom. Number 3: total moment 0.5 μB per formula unit, formation energy from the elements 0.24 eV per atom. Number 4: total moment 0.0 μB per formula unit, formation energy from the elements 0.70 eV per atom. Number 5: total moment 0.0 μB per formula unit, formation energy from the elements 0.23 eV per atom. Number 6: total moment 0.0 μB per formula unit, formation energy from the elements 0.20 eV per atom.